Material: Li3Hg2Au6
Method: DFT, GGA-PBE
State: relaxed

a = 3.8437 Å, b = 3.8437 Å, c = 14.6004 Å
α = 97.56°, β = 97.56°, γ = 90.00°
Sites, in units of the cell vectors:
Li 0.0000 0.0000 0.0000
Li 0.8634 0.8634 0.7268
Li 0.1366 0.1366 0.2732
Hg 0.3288 0.3288 0.6577
Hg 0.6712 0.6712 0.3423
Au 0.0692 0.5692 0.1384
Au 0.5692 0.0692 0.1384
Au 0.9308 0.4308 0.8616
Au 0.4308 0.9308 0.8616
Au 0.7719 0.7719 0.5437
Au 0.2281 0.2281 0.4563

Its density of states at the Fermi level is 1.860 states/eV/f.u. For the total energy, the calculation gives -2.57 eV/atom.